Model A:
Below is a geometry-optimized BH3Pd6 structure, with properties calculated at the PBE-GGA level.

Unit cell a=2.984 b=5.086 c=14.365 alpha=90.00 beta=90.01 gamma=90.00
Element x y z (fractional)
B 0.250 0.000 0.248
B 0.750 0.500 0.752
H 0.250 0.358 0.455
H 0.250 0.637 0.046
H 0.252 0.010 0.737
H 0.748 0.510 0.263
H 0.750 0.137 0.954
H 0.750 0.858 0.545
Pd 0.250 0.018 0.500
Pd 0.250 0.323 0.836
Pd 0.250 0.668 0.333
Pd 0.250 0.670 0.665
Pd 0.250 0.978 0.000
Pd 0.251 0.327 0.165
Pd 0.749 0.827 0.835
Pd 0.750 0.168 0.667
Pd 0.750 0.170 0.335
Pd 0.750 0.478 0.000
Pd 0.750 0.518 0.500
Pd 0.750 0.823 0.164

Calculated values
Symmetry   P2_1, No. 4
Crystal system   monoclinic


Model B:
Below is a geometry-optimized BH3Pd6 structure, with properties calculated at the PBE-GGA level.

Unit cell a=8.999 b=2.904 c=9.405 alpha=90.00 beta=118.36 gamma=90.00
Element x y z (fractional)
B 0.242 0.250 0.090
B 0.758 0.750 0.910
H 0.004 0.750 0.302
H 0.321 0.250 0.483
H 0.357 0.750 0.769
H 0.643 0.250 0.231
H 0.679 0.750 0.517
H 0.996 0.250 0.698
Pd 0.070 0.750 0.917
Pd 0.093 0.250 0.430
Pd 0.232 0.250 0.765
Pd 0.252 0.750 0.265
Pd 0.417 0.750 0.080
Pd 0.426 0.750 0.611
Pd 0.574 0.250 0.389
Pd 0.583 0.250 0.920
Pd 0.748 0.250 0.735
Pd 0.768 0.750 0.235
Pd 0.907 0.750 0.570
Pd 0.930 0.250 0.083

Calculated values
Symmetry   P2_1/m, No. 11
Crystal system   monoclinic


Referenced to the most stable arrangement, the calculated values in eV/atom are model A 0.000; model B 0.010.


Model A:
Below is a geometry-optimized BH2Pd2 structure, with properties calculated at the PBE-GGA level.

Unit cell a=5.603 b=5.603 c=3.464 alpha=90.00 beta=90.00 gamma=90.00
Element x y z (fractional)
B 0.000 0.000 0.000
B 0.500 0.500 0.000
H 0.167 0.333 0.500
H 0.333 0.833 0.500
H 0.667 0.167 0.500
H 0.833 0.667 0.500
Pd 0.171 0.329 0.000
Pd 0.329 0.829 0.000
Pd 0.671 0.171 0.000
Pd 0.829 0.671 0.000

Calculated values
Symmetry   P4/mbm, No. 127
Crystal system   tetragonal


Model B:
Below is a geometry-optimized BH2Pd2 structure, with properties calculated at the PBE-GGA level.

Unit cell a=5.629 b=5.629 c=5.629 alpha=150.49 beta=150.49 gamma=42.22
Element x y z (fractional)
B 0.000 0.000 0.000
H 0.250 0.750 0.500
H 0.750 0.250 0.500
Pd 0.373 0.373 0.000
Pd 0.627 0.627 0.000

Calculated values
Symmetry   I4/mmm, No. 139
Crystal system   tetragonal


Referenced to the most stable arrangement, the calculated values in eV/atom are model A 0.000; model B 0.098.


Model A:
Below is a geometry-optimized BH2Pd4 structure, with properties calculated at the PBE-GGA level.

Unit cell a=3.100 b=5.000 c=5.618 alpha=66.30 beta=74.14 gamma=89.98
Element x y z (fractional)
B 0.000 0.000 0.000
H 0.313 0.338 0.379
H 0.687 0.662 0.621
Pd 0.124 0.453 0.748
Pd 0.377 0.046 0.249
Pd 0.623 0.954 0.751
Pd 0.876 0.547 0.252

Calculated values
Symmetry   P-1, No. 2
Crystal system   triclinic


Model B:
Below is a geometry-optimized BH2Pd4 structure, with properties calculated at the PBE-GGA level.

Unit cell a=5.838 b=5.838 c=5.838 alpha=115.63 beta=104.45 gamma=108.54
Element x y z (fractional)
B 0.476 0.226 0.250
B 0.524 0.774 0.750
H 0.000 0.000 0.500
H 0.000 0.500 0.000
H 0.000 0.500 0.500
H 0.500 0.500 0.000
Pd 0.195 0.238 0.957
Pd 0.219 0.762 0.457
Pd 0.288 0.303 0.515
Pd 0.288 0.774 0.985
Pd 0.712 0.226 0.015
Pd 0.712 0.697 0.485
Pd 0.781 0.238 0.543
Pd 0.805 0.762 0.043

Calculated values
Symmetry   Imma, No. 74
Crystal system   orthorhombic


Referenced to the most stable arrangement, the calculated values in eV/atom are model A 0.000; model B 0.027.


Model A:
Below is a geometry-optimized B2HPd8 structure, with properties calculated at the PBE-GGA level.

Unit cell a=7.175 b=7.175 c=8.519 alpha=125.49 beta=125.49 gamma=66.45
Element x y z (fractional)
B 0.121 0.632 0.985
B 0.368 0.879 0.515
B 0.632 0.121 0.485
B 0.879 0.368 0.015
H 0.390 0.610 0.750
H 0.610 0.390 0.250
Pd 0.111 0.136 0.503
Pd 0.118 0.625 0.740
Pd 0.125 0.626 0.238
Pd 0.136 0.111 0.003
Pd 0.363 0.376 0.484
Pd 0.374 0.875 0.262
Pd 0.375 0.882 0.760
Pd 0.376 0.363 0.984
Pd 0.624 0.637 0.016
Pd 0.625 0.118 0.240
Pd 0.626 0.125 0.738
Pd 0.637 0.624 0.516
Pd 0.864 0.889 0.997
Pd 0.875 0.374 0.762
Pd 0.882 0.375 0.260
Pd 0.889 0.864 0.497

Calculated values
Symmetry   C2/c, No. 15
Crystal system   monoclinic


Model B:
Below is a geometry-optimized B2HPd8 structure, with properties calculated at the PBE-GGA level.

Unit cell a=5.921 b=5.921 c=4.779 alpha=101.35 beta=101.35 gamma=113.32
Element x y z (fractional)
B 0.189 0.811 0.000
B 0.811 0.189 0.000
H 0.500 0.500 0.500
Pd 0.133 0.133 0.305
Pd 0.139 0.407 0.873
Pd 0.321 0.679 0.500
Pd 0.407 0.139 0.873
Pd 0.593 0.861 0.127
Pd 0.679 0.321 0.500
Pd 0.861 0.593 0.127
Pd 0.867 0.867 0.695

Calculated values
Symmetry   C2/m, No. 12
Crystal system   monoclinic


Referenced to the most stable arrangement, the calculated values in eV/atom are model A 0.000; model B 0.121.